## TmV2PbO8 (PBE+U)

Data for a relaxed structure of TmV2PbO8.

## Properties
energy	-7.248	eV/atom
magnetic moment	0.0	Bohr magnetons per cell

Cell and atoms, written as CIF:
```
data_TmV2PbO8
_chemical_formula_sum 'Tm1 V2 Pb1 O8'
_symmetry_space_group_name_H-M 'P -3 m 1'
_symmetry_Int_Tables_number 164
_symmetry_space_group_name_Hall '-P 3 2"'
_cell_length_a 5.8463
_cell_length_b 5.8463
_cell_length_c 6.6202
_cell_angle_alpha 90.00
_cell_angle_beta 90.00
_cell_angle_gamma 120.00
loop_
_atom_site_label
_atom_site_fract_x
_atom_site_fract_y
_atom_site_fract_z
Tm1 0.0000 0.0000 0.0000
V1 0.3333 0.6667 0.3030
Pb1 0.0000 0.0000 0.5000
O1 0.1647 0.3293 0.2235
O2 0.3333 0.6667 0.5513
```